1.
Below is a relaxed DyEr3Ag crystal, with properties calculated at the PBE level.

a = 6.627 Å, b = 6.627 Å, c = 8.491 Å
α = 88.62°, β = 120.51°, γ = 112.36°
Fractional positions:
Er: 0.764 0.587 0.851
Dy: 0.681 0.059 0.740
Er: 0.818 0.440 0.259
Dy: 0.319 0.941 0.260
Er: 0.735 0.913 0.149
Er: 0.182 0.560 0.741
Er: 0.236 0.413 0.149
Ag: 0.753 0.747 0.500
Er: 0.265 0.087 0.851
Ag: 0.247 0.253 0.500

Output
- Energy: -4.2370 eV/atom
- DFT formation energy: -0.01 eV/atom
- SG: C2/m
- Calculated density: 8.8 Mg/m³



2.
Below is a relaxed DyErAg4 crystal, with properties calculated at the PBE level.

a = 5.688 Å, b = 5.688 Å, c = 5.688 Å
α = 60.00°, β = 60.00°, γ = 60.00°
Fractional positions:
Ag: 0.125 0.625 0.625
Ag: 0.625 0.625 0.625
Ag: 0.625 0.625 0.125
Ag: 0.625 0.125 0.625
Er: 0.250 0.250 0.250
Dy: 0.000 0.000 0.000

Output
- Energy: -3.6007 eV/atom
- Distance to the lowest polymorph of the same formula: 147 meV per atom
- DFT formation energy: -0.17 eV/atom
- SG: F-43m
- Calculated density: 9.7 Mg/m³



3.
Below is a relaxed DyEr2Ag6 crystal, with properties calculated at the PBE level.

a = 5.285 Å, b = 8.849 Å, c = 8.849 Å
α = 75.47°, β = 81.66°, γ = 81.66°
Fractional positions:
Ag: 0.693 0.238 0.986
Ag: 0.973 0.432 0.679
Er: 0.416 0.542 0.792
Ag: 0.527 0.321 0.568
Ag: 0.027 0.568 0.321
Er: 0.084 0.208 0.458
Ag: 0.307 0.762 0.014
Er: 0.584 0.458 0.208
Ag: 0.359 0.902 0.652
Dy: 0.250 0.125 0.875
Ag: 0.807 0.014 0.762
Ag: 0.859 0.652 0.902
Dy: 0.750 0.875 0.125
Ag: 0.473 0.679 0.432
Ag: 0.193 0.986 0.238
Ag: 0.641 0.098 0.348
Er: 0.916 0.792 0.542
Ag: 0.141 0.348 0.098

Output
- Energy: -3.6416 eV/atom
- DFT formation energy: -0.22 eV/atom
- SG: C2/c
- Calculated density: 9.7 Mg/m³



4.
Below is a relaxed Dy4ErAg5 crystal, with properties calculated at the PBE level.

a = 3.599 Å, b = 3.599 Å, c = 18.437 Å
α = 90.00°, β = 90.00°, γ = 90.00°
Fractional positions:
Ag: 0.500 0.500 0.098
Dy: 0.000 0.000 0.400
Ag: 0.500 0.500 0.500
Dy: 0.000 0.000 0.600
Dy: 0.000 0.000 0.801
Ag: 0.500 0.500 0.299
Ag: 0.500 0.500 0.701
Dy: 0.000 0.000 0.199
Ag: 0.500 0.500 0.902
Er: 0.000 0.000 0.000

Output
- Energy: -4.0497 eV/atom
- DFT formation energy: -0.33 eV/atom
- SG: P4/mmm
- Calculated density: 9.4 Mg/m³



5.
Below is a relaxed DyErAg2 crystal, with properties calculated at the PBE level.

a = 3.592 Å, b = 5.142 Å, c = 5.142 Å
α = 90.00°, β = 90.00°, γ = 90.00°
Fractional positions:
Ag: 0.000 0.000 0.500
Ag: 0.000 0.500 0.000
Dy: 0.500 0.500 0.500
Er: 0.500 0.000 0.000

Output
- Energy: -4.0435 eV/atom
- DFT formation energy: -0.33 eV/atom
- SG: P4/mmm
- Calculated density: 9.5 Mg/m³



6.
Below is a relaxed Dy2ErAg2 crystal, with properties calculated at the PBE level.

a = 4.883 Å, b = 5.270 Å, c = 10.894 Å
α = 96.08°, β = 90.00°, γ = 90.00°
Fractional positions:
Er: 0.250 0.700 0.241
Dy: 0.250 0.839 0.889
Ag: 0.250 0.358 0.992
Dy: 0.750 0.161 0.111
Ag: 0.750 0.217 0.367
Er: 0.750 0.300 0.759
Ag: 0.250 0.783 0.633
Dy: 0.250 0.252 0.507
Dy: 0.750 0.748 0.493
Ag: 0.750 0.642 0.008

Output
- Energy: -3.9621 eV/atom
- Distance to the lowest polymorph of the same formula: 172 meV per atom
- DFT formation energy: -0.07 eV/atom
- SG: P2_1/m
- Calculated density: 8.4 Mg/m³



7.
Below is a relaxed DyEr2Ag2 crystal, with properties calculated at the PBE level.

a = 4.996 Å, b = 6.304 Å, c = 8.123 Å
α = 83.94°, β = 90.00°, γ = 90.00°
Fractional positions:
Ag: 0.250 0.571 0.614
Ag: 0.750 0.636 0.019
Dy: 0.750 0.312 0.747
Ag: 0.750 0.429 0.386
Er: 0.750 0.839 0.553
Er: 0.250 0.161 0.447
Dy: 0.250 0.688 0.253
Er: 0.250 0.900 0.857
Ag: 0.250 0.364 0.981
Er: 0.750 0.100 0.143

Output
- Energy: -4.0465 eV/atom
- Distance to the lowest polymorph of the same formula: 86 meV per atom
- DFT formation energy: -0.16 eV/atom
- SG: P2_1/m
- Calculated density: 9.3 Mg/m³



8.
Below is a relaxed DyErAg2 crystal, with properties calculated at the PBE level.

a = 5.122 Å, b = 5.122 Å, c = 5.122 Å
α = 60.00°, β = 60.00°, γ = 60.00°
Fractional positions:
Er: 0.000 0.000 0.000
Ag: 0.750 0.750 0.750
Ag: 0.250 0.250 0.250
Dy: 0.500 0.500 0.500

Output
- Energy: -4.0421 eV/atom
- DFT formation energy: -0.33 eV/atom
- SG: Fm-3m
- Calculated density: 9.5 Mg/m³



9.
Below is a relaxed DyErAg4 crystal, with properties calculated at the PBE level.

a = 3.702 Å, b = 5.320 Å, c = 7.517 Å
α = 79.47°, β = 75.69°, γ = 110.36°
Fractional positions:
Er: 0.001 0.997 0.498
Ag: 0.665 0.992 0.166
Dy: 0.501 0.497 0.998
Ag: 0.169 0.495 0.662
Ag: 0.337 0.003 0.831
Ag: 0.834 0.499 0.335

Output
- Energy: -3.7481 eV/atom
- Distance to the lowest polymorph of the same formula: 0 meV per atom
- DFT formation energy: -0.32 eV/atom
- SG: C2/m
- Calculated density: 9.8 Mg/m³



10.
Below is a relaxed DyEr2Ag2 crystal, with properties calculated at the PBE level.

a = 3.606 Å, b = 5.222 Å, c = 13.453 Å
α = 90.00°, β = 97.69°, γ = 90.00°
Fractional positions:
Er: 0.235 0.750 0.469
Ag: 0.547 0.250 0.093
Dy: 0.854 0.750 0.709
Ag: 0.358 0.250 0.716
Ag: 0.453 0.750 0.907
Ag: 0.642 0.750 0.284
Er: 0.047 0.750 0.095
Er: 0.765 0.250 0.531
Er: 0.953 0.250 0.905
Dy: 0.146 0.250 0.291

Output
- Energy: -4.1323 eV/atom
- Distance to the lowest polymorph of the same formula: 0 meV per atom
- DFT formation energy: -0.25 eV/atom
- SG: P2_1/m
- Calculated density: 9.4 Mg/m³



11.
Below is a relaxed Dy2Er2Ag crystal, with properties calculated at the PBE level.

a = 3.523 Å, b = 3.523 Å, c = 11.644 Å
α = 98.70°, β = 98.70°, γ = 90.00°
Fractional positions:
Ag: 0.000 0.000 0.000
Dy: 0.805 0.805 0.610
Er: 0.417 0.417 0.834
Er: 0.583 0.583 0.166
Dy: 0.195 0.195 0.390

Output
- Energy: -4.3408 eV/atom
- DFT formation energy: -0.10 eV/atom
- SG: I4/mmm
- Calculated density: 9.0 Mg/m³



12.
Below is a relaxed Dy2Er3Ag3 crystal, with properties calculated at the PBE level.

a = 3.650 Å, b = 5.214 Å, c = 11.158 Å
α = 103.51°, β = 99.41°, γ = 90.00°
Fractional positions:
Dy: 0.731 0.231 0.463
Ag: 0.116 0.116 0.232
Ag: 0.884 0.884 0.768
Dy: 0.269 0.769 0.537
Er: 0.380 0.380 0.760
Ag: 0.000 0.500 0.000
Er: 0.500 0.000 0.000
Er: 0.620 0.620 0.240

Output
- Energy: -4.1544 eV/atom
- DFT formation energy: -0.22 eV/atom
- SG: Immm
- Calculated density: 9.4 Mg/m³



Among the records above, which one has the lowest energy? Dy2Er2Ag



What is the formula in the fourth record? Dy4ErAg5